Entry 1:
Entry from the Alexandria database: a relaxed Sr2AuBr crystal (PBE-GGA).

Unit cell a=3.8694 b=3.8694 c=8.3131 alpha=90.00 beta=90.00 gamma=90.00
With the nearest neighbours (Å) after each atom.
Fractional coordinates of all 4 atoms:
Sr (0.0000, 0.0000, 0.7805)  4 Au 3.29, 4 Br 3.60, 1 Sr 3.65
Sr (0.0000, 0.0000, 0.2195)  4 Au 3.29, 4 Br 3.60, 1 Sr 3.65
Au (0.5000, 0.5000, 0.0000)  8 Sr 3.29
Br (0.5000, 0.5000, 0.5000)  8 Sr 3.60, 4 Br 3.87

Space group ... P4/mmm, No. 123
Crystal system ... tetragonal
ΔE_f (raw) ... -1.071 eV per atom
Total magnetization ... 0.0 μB per formula unit
E above lowest polymorph ... 0.097 eV per atom

Entry 2:
Entry from the Alexandria database: a relaxed SrAu2Br crystal (PBE-GGA).

Unit cell a=5.2384 b=5.2385 c=5.2379 alpha=120.00 beta=120.00 gamma=90.01
With the nearest neighbours (Å) after each atom.
Fractional coordinates of all 4 atoms:
Sr (0.7500, 0.2500, 0.5000)  4 Au 3.21, 4 Br 3.21
Au (0.0000, 0.0000, 0.0000)  4 Au 3.21, 4 Sr 3.21
Au (0.2500, 0.7500, 0.5000)  4 Au 3.21, 4 Br 3.21
Br (0.5000, 0.5000, 0.0000)  4 Sr 3.21, 4 Au 3.21

Space group ... F-43m, No. 216
Crystal system ... cubic
ΔE_f (raw) ... -0.619 eV per atom
Total magnetization ... 0.0 μB per formula unit
E above lowest polymorph ... 0.287 eV per atom

Question: Look up the E above lowest polymorph of the second one.
Answer: 0.287 eV per atom

Question: Look up the ΔE_f (raw) of the first one.
Answer: -1.071 eV per atom

Question: The highest ΔE_f (raw) belongs to which entry?
Answer: SrAu2Br

Question: Number 1 is which compound?
Answer: Sr2AuBr